No. 1
# HfSi2S

A relaxed structure of HfSi2S (GGA-PBE, Alexandria).

Results
M_tot (μB per formula unit): 0.0
Calculated total energy (Ha/atom): -0.2262
Formation energy without anion corrections (kJ per mole of atoms): 7.3
Density (g/cm³): 6.51

Unit cell a=7.2623 b=7.2623 c=5.1591 alpha=90.00 beta=90.00 gamma=90.00
Space group I-42d (No. 122)
Inequivalent atoms, fractional coordinates:
Hf 0.0000 0.0000 0.0000 [4 per cell]
Si 0.2301 0.2500 0.6250 [8 per cell]
S 0.0000 0.0000 0.5000 [4 per cell]



No. 2
# SrHf2SiS

A relaxed structure of SrHf2SiS (GGA-PBE, Alexandria).

Results
M_tot (μB per formula unit): 0.0
Calculated total energy (Ha/atom): -0.1603
Formation energy without anion corrections (kJ per mole of atoms): 179.9
Density (g/cm³): 5.77

Unit cell a=5.3956 b=5.3956 c=4.9875 alpha=90.00 beta=90.00 gamma=90.00
Space group P4/mmm (No. 123)
Inequivalent atoms, fractional coordinates:
Sr 0.0000 0.0000 0.0000 [1 per cell]
Hf 0.0000 0.5000 0.0000 [2 per cell]
Si 0.5000 0.5000 0.5000 [1 per cell]
S 0.0000 0.0000 0.5000 [1 per cell]